## RbP2AuO8 (PBE)

Data for RbP2AuO8 after structural relaxation.

POSCAR file:
```
RbP2AuO8
1.0
5.035 0.000 0.000
2.518 4.361 0.000
2.518 1.454 8.883
O Au P Rb
8 1 2 1
Direct
0.292 0.292 0.123 O
0.721 0.521 0.654 O
0.896 0.479 0.346 O
0.279 0.896 0.346 O
0.521 0.104 0.654 O
0.104 0.721 0.654 O
0.708 0.708 0.877 O
0.479 0.279 0.346 O
0.500 0.500 0.500 Au
0.765 0.765 0.706 P
0.235 0.235 0.294 P
0.000 0.000 0.000 Rb
```

Calculated values
Space-group type = R32
Raw formation energy = -16.6 eV/f.u.
Density = 4.02 g/cm3

## SrMn (PBE)

Data for SrMn after structural relaxation.

POSCAR file:
```
SrMn
1.0
-0.890 -0.192 -3.136
2.533 -1.972 -0.598
-5.195 -7.257 1.918
Sr Mn
2 2
Direct
0.750 0.750 0.298 Sr
0.250 0.250 0.702 Sr
0.250 0.250 0.026 Mn
0.750 0.750 0.974 Mn
```

Calculated values
Energy of formation from the pure elements = 1.37 eV/f.u.
Space-group type = P4/nmm
Density = 4.86 g/cm3

## Pm6Ge2Pd (PBE)

Data for Pm6Ge2Pd after structural relaxation.

POSCAR file:
```
Pm6Ge2Pd
1.0
4.900 0.000 -0.187
0.000 7.177 0.000
-2.155 -3.588 7.719
Pm Ge Pd
6 2 1
Direct
0.500 0.752 0.000 Pm
0.165 0.408 0.329 Pm
0.835 0.080 0.671 Pm
0.500 0.248 0.000 Pm
0.165 0.920 0.329 Pm
0.835 0.592 0.671 Pm
0.332 0.332 0.664 Ge
0.668 0.668 0.336 Ge
0.000 0.000 0.000 Pd
```

Calculated values
Energy of formation from the pure elements = -4.13 eV/f.u.
Space-group type = Immm
Density = 6.94 g/cm3

## Nd2Cu2Hg3 (PBE)

Data for Nd2Cu2Hg3 after structural relaxation.

POSCAR file:
```
Nd2Cu2Hg3
1.0
3.826 0.000 0.000
0.000 4.347 0.000
0.000 -2.173 10.025
Hg Nd Cu
3 2 2
Direct
0.500 0.578 0.157 Hg
0.000 0.000 0.000 Hg
0.500 0.422 0.843 Hg
0.000 0.168 0.336 Nd
0.000 0.832 0.664 Nd
0.500 0.282 0.563 Cu
0.500 0.718 0.437 Cu
```

Calculated values
Energy of formation from the pure elements = -1.80 eV/f.u.
Space-group type = Cmmm
Density = 10.13 g/cm3

What is the density in the fourth record? 10.13 g/cm3

Number 3 is which compound? Pm6Ge2Pd

density of number 2 (SrMn)? 4.86 g/cm3

What is the formula in the fourth record? Nd2Cu2Hg3